## SrCaTbVO6 (PBE+U)

Data for an optimized crystal structure of SrCaTbVO6.

Structure (CIF):
```
data_SrCaTbVO6
_chemical_formula_sum 'Sr4 Ca4 Tb4 V4 O24'
_cell_length_a 8.193
_cell_length_b 8.193
_cell_length_c 8.193
_cell_angle_alpha 90.00
_cell_angle_beta 90.00
_cell_angle_gamma 90.00
_symmetry_space_group_name_H-M 'F -4 3 m'
_symmetry_Int_Tables_number 216
_symmetry_space_group_name_Hall 'F -4 2 3'
loop_
_atom_site_label
_atom_site_type_symbol
_atom_site_fract_x
_atom_site_fract_y
_atom_site_fract_z
_atom_site_occupancy
Sr1 Sr 0.000 0.000 0.000 1
Ca1 Ca 0.000 0.000 0.500 1
Tb1 Tb 0.250 0.250 0.250 1
V1 V 0.250 0.250 0.750 1
O1 O 0.019 0.250 0.750 1
```

Properties
The volume comes out at 13.8 Å³/atom. The calculation puts the total energy at -7.220 eV/atom. The magnetization comes out at 0.00 μB/f.u.